[1]
# Ac3GeNCl PBE optimized geometry
data_Ac3GeNCl
_chemical_formula_sum 'Ac6 Ge2 N2 Cl2'
_cell_length_a 9.325
_cell_length_b 4.308
_cell_length_c 9.748
_cell_angle_alpha 90.00
_cell_angle_beta 104.30
_cell_angle_gamma 90.00
_space_group_name_H-M_alt 'P 1 21/m 1'
_space_group_IT_number 11
loop_
_space_group_symop_operation_xyz
'x,y,z'
'-x,-y,-z'
'-x,y+1/2,-z'
'x,-y+1/2,z'
loop_
_atom_site_label
_atom_site_type_symbol
_atom_site_fract_x
_atom_site_fract_y
_atom_site_fract_z
Ac1 Ac 0.089 0.250 0.358
Ac2 Ac 0.169 0.750 0.017
Ac3 Ac 0.410 0.750 0.719
Ge1 Ge 0.177 0.250 0.714
N1 N 0.094 0.250 0.115
Cl1 Cl 0.366 0.750 0.378
# energy relative to the elements, uncorrected = -1.15 eV per atom
# E_tot = -67.991 eV per cell
# DOS at the Fermi energy = 3.0 states/eV per cell

=====

[2]
# BaInP2O PBE optimized geometry
data_BaInP2O
_chemical_formula_sum 'Ba1 In1 P2 O1'
_cell_length_a 5.241
_cell_length_b 5.241
_cell_length_c 4.387
_cell_angle_alpha 90.00
_cell_angle_beta 90.00
_cell_angle_gamma 90.00
_space_group_name_H-M_alt 'P 4/m m m'
_space_group_IT_number 123
_space_group_name_Hall '-P 4 2'
loop_
_atom_site_label
_atom_site_type_symbol
_atom_site_fract_x
_atom_site_fract_y
_atom_site_fract_z
Ba1 Ba 0.000 0.000 0.000
In1 In 0.500 0.500 0.500
P1 P 0.000 0.500 0.500
O1 O 0.500 0.500 0.000
# offset from the most stable computed form = 0.00 kJ/mol of atoms
# energy relative to the elements, uncorrected = -0.26 eV per atom
# E_tot = -21.734 eV per cell
# DOS at the Fermi energy = 3.3 states/eV per cell

=====

[3]
# CaP2Cl PBE optimized geometry
data_CaP2Cl
_chemical_formula_sum 'Ca4 P8 Cl4'
_cell_length_a 6.891
_cell_length_b 6.891
_cell_length_c 6.891
_cell_angle_alpha 90.00
_cell_angle_beta 90.00
_cell_angle_gamma 90.00
_space_group_name_H-M_alt 'F -4 3 m'
_space_group_IT_number 216
_space_group_name_Hall 'F -4 2 3'
loop_
_atom_site_label
_atom_site_type_symbol
_atom_site_fract_x
_atom_site_fract_y
_atom_site_fract_z
Ca1 Ca 0.000 0.000 0.000
P1 P 0.000 0.000 0.500
P2 P 0.250 0.250 0.750
Cl1 Cl 0.250 0.250 0.250
# offset from the most stable computed form = 72.96 kJ/mol of atoms
# energy relative to the elements, uncorrected = -0.22 eV per atom
# E_tot = -62.213 eV per cell
# DOS at the Fermi energy = 10.0 states/eV per cell

=====

[4]
# YErLu4 PBE optimized geometry
data_YErLu4
_chemical_formula_sum 'Y4 Er4 Lu16'
_cell_length_a 9.142
_cell_length_b 9.142
_cell_length_c 9.142
_cell_angle_alpha 90.00
_cell_angle_beta 90.00
_cell_angle_gamma 90.00
_space_group_name_H-M_alt 'F -4 3 m'
_space_group_IT_number 216
_space_group_name_Hall 'F -4 2 3'
loop_
_atom_site_label
_atom_site_type_symbol
_atom_site_fract_x
_atom_site_fract_y
_atom_site_fract_z
Y1 Y 0.000 0.000 0.000
Er1 Er 0.250 0.250 0.250
Lu1 Lu 0.125 0.125 0.625
# DFT formation energy = 0.261 eV per atom
# E_tot = -110.169 eV per cell
# DOS at the Fermi energy = 49.8 states/eV per cell